(1)
This record from the Alexandria database describes an optimized crystal structure of Pm5SmSn2. The functional is PBE.

Cell lengths 4.6235, 7.8883, 7.8883 Å; angles 79.01, 72.96, 72.96 degrees
With the nearest neighbours (Å) after each atom.
Sites, in units of the cell vectors:
Pm 0.0000 0.5000 0.5000  2 Sn 3.31, 8 Pm 3.46
Pm 0.6567 0.5304 0.1562  3 Sn 3.19-3.35, 5 Pm 3.37-3.53
Pm 0.3433 0.4696 0.8438  3 Sn 3.19-3.35, 5 Pm 3.37-3.53
Pm 0.3433 0.8438 0.4696  3 Sn 3.19-3.35, 5 Pm 3.37-3.53
Pm 0.6567 0.1562 0.5304  3 Sn 3.19-3.35, 5 Pm 3.37-3.53
Sm 0.0000 0.0000 0.0000  4 Sn 3.28
Sn 0.7064 0.7936 0.7936  7 Pm 3.19-3.35, 2 Sm 3.28
Sn 0.2936 0.2064 0.2064  7 Pm 3.19-3.35, 2 Sm 3.28

Summary:
Space-group type   Immm (71)
E_tot   -4.862 eV/atom


(2)
This record from the Alexandria database describes an optimized crystal structure of PmSm7Sn4. The functional is PBE.

Cell lengths 5.8199, 9.6157, 7.6321 Å; angles 79.33, 67.59, 72.38 degrees
With the nearest neighbours (Å) after each atom.
Sites, in units of the cell vectors:
Pm 0.0000 0.0000 0.0000  2 Sm 2.91
Sm 0.7894 0.8855 0.5356  2 Sm 3.21-3.52, 4 Sn 3.29-3.36
Sm 0.2106 0.1145 0.4644  2 Sm 3.21-3.52, 4 Sn 3.29-3.36
Sm 0.0590 0.6262 0.2558  3 Sn 3.14-3.30, 1 Sm 3.21
Sm 0.9410 0.3738 0.7442  3 Sn 3.14-3.30, 1 Sm 3.21
Sm 0.3169 0.6089 0.7572  4 Sn 3.02-3.25
Sm 0.5000 0.0000 0.0000  2 Pm 2.91, 4 Sn 3.07-3.21
Sm 0.6831 0.3911 0.2428  4 Sn 3.02-3.25
Sn 0.5662 0.2325 0.6352  7 Sm 3.02-3.36, 1 Sn 3.23
Sn 0.4338 0.7675 0.3648  7 Sm 3.02-3.36, 1 Sn 3.23
Sn 0.6969 0.6730 0.9332  6 Sm 3.07-3.29, 1 Sn 3.23
Sn 0.3031 0.3270 0.0668  6 Sm 3.07-3.29, 1 Sn 3.23

Summary:
Space-group type   C2/m (12)
E_tot   -4.777 eV/atom


What is the E_tot in the first record? -4.862 eV/atom


Which of these has the highest E_tot? PmSm7Sn4